Crystalline RhC3S at its relaxed geometry. Source: the Alexandria database, functional PBE.

abc: 3.593 3.593 3.593
angles: 90.00 90.00 90.00
Space group Pm-3m (No. 221)
Inequivalent atoms, fractional coordinates:
Rh1 0.000 0.000 0.000
C1 0.000 0.500 0.500
S1 0.500 0.500 0.500

For the relative energy among the computed polymorphs, the calculation gives 0 meV per atom. For the density of states at the Fermi level, the calculation gives 0.47 states/eV per atom. For the raw formation energy, the calculation gives 2.389 eV per atom.